No. 1
NaSm2PuS4 after structural relaxation. Source: Alexandria via LeMat-Bulk, functional PBE.

Geometry as CIF:
```
data_NaSm2PuS4
_space_group_name_H-M_alt 'P 1'
_space_group_IT_number 1
_cell_length_a 6.9547
_cell_length_b 4.0106
_cell_length_c 6.9568
_cell_angle_alpha 90.00
_cell_angle_beta 109.58
_cell_angle_gamma 90.00
loop_
_space_group_symop_operation_xyz
'x,y,z'
loop_
_atom_site_label
_atom_site_type_symbol
_atom_site_fract_x
_atom_site_fract_y
_atom_site_fract_z
_atom_site_occupancy
Na1 Na 0.0000 0.0000 0.0000 1
Sm1 Sm 0.5000 0.0000 0.5000 1
Sm2 Sm 0.5000 0.5000 0.0000 1
Pu1 Pu 0.0000 0.5000 0.5000 1
S1 S 0.2476 0.0000 0.7468 1
S2 S 0.2537 0.5000 0.2533 1
S3 S 0.7463 0.5000 0.7467 1
S4 S 0.7524 0.0000 0.2532 1
```

## Properties
DOS at the Fermi energy in states/eV/cell: 12.2
E_form (uncorrected) in eV/atom: -1.84
Magnetization in μB/atom: 0.718
ρ in kg/m³: 6321

No. 2
Pr7In2Ru2 after structural relaxation. Source: Alexandria via LeMat-Bulk, functional PBE.

Geometry as CIF:
```
data_Pr7In2Ru2
_space_group_name_H-M_alt 'P 1'
_space_group_IT_number 1
_cell_length_a 7.0996
_cell_length_b 7.0996
_cell_length_c 7.2911
_cell_angle_alpha 90.00
_cell_angle_beta 90.00
_cell_angle_gamma 108.11
loop_
_space_group_symop_operation_xyz
'x,y,z'
loop_
_atom_site_label
_atom_site_type_symbol
_atom_site_fract_x
_atom_site_fract_y
_atom_site_fract_z
_atom_site_occupancy
Pr1 Pr 0.0000 0.0000 0.0000 1
Pr2 Pr 0.0000 0.5000 0.2518 1
Pr3 Pr 0.0000 0.5000 0.7482 1
Pr4 Pr 0.5000 0.0000 0.2518 1
Pr5 Pr 0.5000 0.0000 0.7482 1
Pr6 Pr 0.5000 0.5000 0.2446 1
Pr7 Pr 0.5000 0.5000 0.7554 1
In1 In 0.1708 0.1708 0.5000 1
In2 In 0.8292 0.8292 0.5000 1
Ru1 Ru 0.2953 0.7047 0.0000 1
Ru2 Ru 0.7047 0.2953 0.0000 1
```

## Properties
DOS at the Fermi energy in states/eV/cell: 10.7
Energy of formation from the pure elements in eV per atom: -0.198
Magnetization in μB/atom: 0.000
ρ in kg/m³: 6742